# 1
Density functional theory data (GGA-PBE) for an optimized crystal structure of LiHoCu.

Results
VASP energy: -3.317 eV/atom
E above lowest polymorph: 0.0 meV/atom

Cell lengths 6.3967, 6.3967, 6.3967 Å; angles 90.00, 90.00, 90.00 degrees
Space group F-43m (No. 216)
One atom of each set of equivalent atoms:
Li1 0.0000 0.0000 0.0000 [4 per cell]
Ho1 0.0000 0.0000 0.5000 [4 per cell]
Cu1 0.2500 0.2500 0.7500 [4 per cell]

---

# 2
Density functional theory data (GGA-PBE) for an optimized crystal structure of LiHoCu4.

Results
VASP energy: -3.761 eV/atom

Cell lengths 7.1019, 7.1019, 7.1019 Å; angles 90.00, 90.00, 90.00 degrees
Space group F-43m (No. 216)
One atom of each set of equivalent atoms:
Li1 0.0000 0.0000 0.0000 [4 per cell]
Ho1 0.2500 0.2500 0.2500 [4 per cell]
Cu1 0.1263 0.1263 0.6263 [16 per cell]

---

# 3
Density functional theory data (GGA-PBE) for an optimized crystal structure of LiHoCu.

Results
VASP energy: -2.899 eV/atom
E above lowest polymorph: 417.9 meV/atom

Cell lengths 6.4483, 6.4483, 6.4483 Å; angles 90.00, 90.00, 90.00 degrees
Space group F-43m (No. 216)
One atom of each set of equivalent atoms:
Li1 0.0000 0.0000 0.0000 [4 per cell]
Ho1 0.2500 0.2500 0.7500 [4 per cell]
Cu1 0.0000 0.0000 0.5000 [4 per cell]

---

# 4
Density functional theory data (GGA-PBE) for an optimized crystal structure of LiHoCuSe3.

Results
VASP energy: -4.527 eV/atom

Cell lengths 3.8607, 13.1242, 10.5503 Å; angles 90.00, 90.00, 90.00 degrees
Space group Cmcm (No. 63)
One atom of each set of equivalent atoms:
Li1 0.0000 0.2171 0.2500 [4 per cell]
Ho1 0.0000 0.0000 0.0000 [4 per cell]
Cu1 0.0000 0.4815 0.7500 [4 per cell]
Se1 0.0000 0.0948 0.7500 [4 per cell]
Se2 0.0000 0.3572 0.5796 [8 per cell]

---

# 5
Density functional theory data (GGA-PBE) for an optimized crystal structure of LiHoCuTe3.

Results
VASP energy: -4.082 eV/atom

Cell lengths 4.0586, 14.4052, 11.0777 Å; angles 90.00, 90.00, 90.00 degrees
Space group Cmcm (No. 63)
One atom of each set of equivalent atoms:
Li1 0.0000 0.2135 0.2500 [4 per cell]
Ho1 0.0000 0.0000 0.0000 [4 per cell]
Cu1 0.0000 0.4786 0.7500 [4 per cell]
Te1 0.0000 0.0950 0.7500 [4 per cell]
Te2 0.0000 0.3553 0.5758 [8 per cell]

---

# 6
Density functional theory data (GGA-PBE) for an optimized crystal structure of LiHoCuTe3.

Results
VASP energy: -4.083 eV/atom

Cell lengths 8.5567, 4.0825, 9.8346 Å; angles 90.00, 105.84, 90.00 degrees
Space group P2_1/m (No. 11)
One atom of each set of equivalent atoms:
Li1 0.1973 0.2500 0.2196 [2 per cell]
Ho1 0.3192 0.7500 0.8390 [2 per cell]
Cu1 0.0815 0.2500 0.5868 [2 per cell]
Te1 0.0623 0.2500 0.8496 [2 per cell]
Te2 0.2386 0.7500 0.5166 [2 per cell]
Te3 0.4186 0.7500 0.1650 [2 per cell]

---

# 7
Density functional theory data (GGA-PBE) for an optimized crystal structure of HoLuCu.

Results
VASP energy: -4.242 eV/atom
E above lowest polymorph: 0.0 meV/atom
calculated formation energy: 0.030 eV/atom

Cell lengths 6.6856, 6.6856, 6.6856 Å; angles 90.00, 90.00, 90.00 degrees
Space group F-43m (No. 216)
One atom of each set of equivalent atoms:
Ho1 0.0000 0.0000 0.0000 [4 per cell]
Lu1 0.0000 0.0000 0.5000 [4 per cell]
Cu1 0.2500 0.2500 0.2500 [4 per cell]

---

# 8
Density functional theory data (GGA-PBE) for an optimized crystal structure of HoLu2Cu4Sn4.

Results
VASP energy: -4.509 eV/atom

Cell lengths 4.4047, 6.9504, 14.5557 Å; angles 90.00, 90.00, 90.00 degrees
Space group Immm (No. 71)
One atom of each set of equivalent atoms:
Ho1 0.0000 0.0000 0.0000 [2 per cell]
Lu1 0.0000 0.5000 0.1305 [4 per cell]
Cu1 0.0000 0.3104 0.3289 [8 per cell]
Sn1 0.0000 0.0000 0.2171 [4 per cell]
Sn2 0.0000 0.2021 0.5000 [4 per cell]

---

# 9
Density functional theory data (GGA-PBE) for an optimized crystal structure of HoLuCu2Sn2.

Results
VASP energy: -4.671 eV/atom

Cell lengths 4.5038, 4.5038, 7.1358 Å; angles 90.00, 90.00, 120.00 degrees
Space group P3m1 (No. 156)
One atom of each set of equivalent atoms:
Ho1 0.0000 0.0000 0.0000 [1 per cell]
Lu1 0.0000 0.0000 0.4994 [1 per cell]
Cu1 0.3333 0.6667 0.3260 [1 per cell]
Cu2 0.6667 0.3333 0.8180 [1 per cell]
Sn1 0.3333 0.6667 0.7274 [1 per cell]
Sn2 0.6667 0.3333 0.2326 [1 per cell]

---

# 10
Density functional theory data (GGA-PBE) for an optimized crystal structure of HoLuCuTe3.

Results
VASP energy: -4.653 eV/atom
E above lowest polymorph: 0.0 meV/atom

Cell lengths 4.0981, 14.1614, 10.8949 Å; angles 90.00, 90.00, 90.00 degrees
Space group Cmcm (No. 63)
One atom of each set of equivalent atoms:
Ho1 0.0000 0.2261 0.2500 [4 per cell]
Lu1 0.0000 0.0000 0.0000 [4 per cell]
Cu1 0.0000 0.4712 0.7500 [4 per cell]
Te1 0.0000 0.0974 0.7500 [4 per cell]
Te2 0.0000 0.3521 0.5641 [8 per cell]

---

# 11
Density functional theory data (GGA-PBE) for an optimized crystal structure of HoLuCuTe3.

Results
VASP energy: -4.639 eV/atom
E above lowest polymorph: 14.4 meV/atom

Cell lengths 4.0558, 14.3421, 10.8744 Å; angles 90.00, 90.00, 90.00 degrees
Space group Cmcm (No. 63)
One atom of each set of equivalent atoms:
Ho1 0.0000 0.0000 0.0000 [4 per cell]
Lu1 0.0000 0.2275 0.2500 [4 per cell]
Cu1 0.0000 0.4721 0.7500 [4 per cell]
Te1 0.0000 0.1017 0.7500 [4 per cell]
Te2 0.0000 0.3497 0.5668 [8 per cell]

---

# 12
Density functional theory data (GGA-PBE) for an optimized crystal structure of HoMgCu.

Results
VASP energy: -3.309 eV/atom

Cell lengths 6.5005, 6.5005, 6.5005 Å; angles 90.00, 90.00, 90.00 degrees
Space group F-43m (No. 216)
One atom of each set of equivalent atoms:
Ho1 0.0000 0.0000 0.0000 [4 per cell]
Mg1 0.0000 0.0000 0.5000 [4 per cell]
Cu1 0.2500 0.2500 0.2500 [4 per cell]

---

- What is the VASP energy in the fifth record?
  -4.082 eV/atom

---

- VASP energy of number 3 (LiHoCu)?
  -2.899 eV/atom